The following is a GGA-PBE calculation of crystalline CeLuTlPd at its relaxed geometry, from Alexandria via LeMat-Bulk.

Calculated values
- ΔE_f: -1.72 eV per formula unit
- Total magnetization: 0.148 μB/atom
- SG: F-43m (216)
- Electronic total energy: -78.9 eV/cell

The structure in CIF format:
```
data_CeLuTlPd
_chemical_formula_sum 'Ce4 Lu4 Tl4 Pd4'
_symmetry_space_group_name_H-M 'P 1'
_symmetry_Int_Tables_number 1
_cell_length_a 7.356
_cell_length_b 7.356
_cell_length_c 7.356
_cell_angle_alpha 90.00
_cell_angle_beta 90.00
_cell_angle_gamma 90.00
loop_
_symmetry_equiv_pos_as_xyz
'x,y,z'
loop_
_atom_site_label
_atom_site_fract_x
_atom_site_fract_y
_atom_site_fract_z
Ce1 0.000 0.000 0.000
Ce2 0.000 0.500 0.500
Ce3 0.500 0.000 0.500
Ce4 0.500 0.500 0.000
Lu1 0.000 0.000 0.500
Lu2 0.000 0.500 0.000
Lu3 0.500 0.000 0.000
Lu4 0.500 0.500 0.500
Tl1 0.250 0.250 0.750
Tl2 0.250 0.750 0.250
Tl3 0.750 0.250 0.250
Tl4 0.750 0.750 0.750
Pd1 0.250 0.250 0.250
Pd2 0.250 0.750 0.750
Pd3 0.750 0.250 0.750
Pd4 0.750 0.750 0.250
```